Here is an optimized crystal structure of LaSmCu4 from the Alexandria database. Energies are from PBE.

For the total moment, the calculation gives 0.000 μB per atom. As for the formation energy: -129 kJ/mol of formula units. The volume comes out at 20.10 A^3/atom. As for the density of states at the Fermi level: 3.9 states/eV/f.u.

The structure belongs to space group Imm2 (No. 44); the cell edges are 4.332, 7.490 and 7.434 Å and the angles 90.00°, 90.00° and 90.00°. The asymmetric unit holds La at (0.000, 0.000, 0.000), Sm at (0.000, 0.500, 0.002), Cu at (0.000, 0.243, 0.334) and Cu at (0.000, 0.246, 0.668).